Na2ZrCoP4O14 after structural relaxation. Source: OQMD via LeMat-Bulk, functional PBE+U.

Results
The value obtained for the total magnetization is 3.000 Bohr magnetons per cell. The total energy comes out at -7.156 eV per atom. Its space group is No. 1. The value obtained for the volume is 255.6 Å³/f.u.

a = 6.5122 Å, b = 6.5455 Å, c = 6.5881 Å
α = 66.73°, β = 86.18°, γ = 82.35°
Last column: nearest neighbours and their distance in Å.
Atoms (fractional coordinates):
Na: 0.0000 0.0000 0.0000  3 O 2.23-2.31
Na: 0.2434 0.4299 0.6160  4 O 2.23-2.45
Zr: 0.7548 0.8066 0.5776  6 O 2.05-2.17
Co: 0.4397 0.6170 0.0184  6 O 2.05-2.24
P: 0.2348 0.9533 0.5391  4 O 1.48-1.58
P: 0.4761 0.0842 0.1122  4 O 1.50-1.63
P: 0.7086 0.3562 0.4531  4 O 1.51-1.59
P: 0.9672 0.4974 0.0446  4 O 1.49-1.61
O: 0.0460 0.3553 0.9209  1 P 1.49
O: 0.0719 0.8139 0.5084  1 P 1.56
O: 0.1210 0.6257 0.0950  1 P 1.52
O: 0.1488 0.1003 0.6540  1 P 1.48
O: 0.3073 0.1060 0.2985  2 P 1.58-1.63
O: 0.3997 0.9347 0.0175  1 P 1.50
O: 0.4268 0.7813 0.6490  1 P 1.57
O: 0.4947 0.3249 0.9581  1 P 1.52
O: 0.5007 0.4638 0.3490  1 P 1.51
O: 0.6797 0.9705 0.2460  1 P 1.57
O: 0.7049 0.1136 0.6185  1 P 1.53
O: 0.7725 0.6683 0.9293  1 P 1.59
O: 0.7964 0.5006 0.5533  1 P 1.53
O: 0.8739 0.3296 0.2730  2 P 1.59-1.61